A geometry-optimized AcDy2Mg structure, computed with PBE-GGA.

```
AcDy2Mg
1.0
5.6929 0.0000 0.0000
2.8465 4.9302 0.0000
2.8465 1.6434 4.6482
Ac Mg Dy
1 1 2
direct
0.0000 0.0000 0.0000
0.5000 0.5000 0.5000
0.2500 0.2500 0.2500
0.7500 0.7500 0.7500
```

## Properties
E above lowest polymorph = 0.60 eV/f.u.
Crystal system = cubic
Size of the total moment = 0.0 μB/cell
Final energy = -3.58 eV per atom
Space group = Fm-3m, No. 225
ΔE_f = 0.1477 eV per atom
D(E_F) = 1.66 states/eV per atom